No. 1
{
  "formula": "ErBi2S6",
  "functional": "PBE",
  "state": "optimized geometry",
  "cell": [[6.2521, 0.0000, 0.0000], [0.0000, 6.2521, 0.0000], [0.0000, 0.0000, 12.6172]],
  "species": ["S", "S", "Bi", "S", "S", "Er", "S", "S", "Bi", "S", "S", "Bi", "S", "S", "Er", "S", "S", "Bi"],
  "fractional_positions": [[0.1914, 0.8086, 0.1657], [0.6914, 0.6914, 0.6657], [0.5000, 0.5000, 0.8357], [0.1914, 0.8086, 0.8343], [0.8033, 0.1967, 0.5000], [0.0000, 0.0000, 0.0000], [0.8086, 0.1914, 0.1657], [0.6914, 0.6914, 0.3343], [0.0000, 0.0000, 0.6643], [0.3086, 0.3086, 0.6657], [0.8086, 0.1914, 0.8343], [0.5000, 0.5000, 0.1643], [0.3086, 0.3086, 0.3343], [0.1967, 0.8033, 0.5000], [0.5000, 0.5000, 0.5000], [0.3033, 0.3033, 0.0000], [0.6967, 0.6967, 0.0000], [0.0000, 0.0000, 0.3357]],
  "e_form_raw_mev_per_atom": -396
}



No. 2
{
  "formula": "Mn4VGe",
  "functional": "PBE",
  "state": "optimized geometry",
  "cell": [[2.8968, 0.0012, 0.0019], [1.4456, 4.3405, 1.3870], [-0.0045, 0.0127, 5.5113]],
  "species": ["V", "Mn", "Ge", "Mn", "Mn", "Mn"],
  "fractional_positions": [[0.5006, 0.4954, 0.5019], [0.1705, 0.1556, 0.3383], [0.5005, 0.4955, 0.0018], [0.1674, 0.1619, 0.8348], [0.8337, 0.8289, 0.1690], [0.8306, 0.8352, 0.6654]],
  "formation_energy_mev_per_atom": -90,
  "polymorph_energy_ev_per_fu": 0.00
}



No. 3
{
  "formula": "Li3AgPd6",
  "functional": "PBE",
  "state": "optimized geometry",
  "cell": [[2.7920, 0.0000, -0.3137], [0.0000, 4.6940, 0.0000], [-0.3326, 0.0000, 22.4961]],
  "species": ["Pd", "Li", "Li", "Li", "Ag", "Pd", "Li", "Pd", "Li", "Pd", "Pd", "Pd", "Pd", "Ag", "Pd", "Li", "Pd", "Pd", "Pd", "Pd"],
  "fractional_positions": [[0.8986, 0.3591, 0.8996], [0.1956, 0.7044, 0.6954], [0.0000, 0.0000, 0.5000], [0.8044, 0.2956, 0.3046], [0.5000, 0.5000, 0.5000], [0.3947, 0.8549, 0.8961], [0.3044, 0.2045, 0.8046], [0.3986, 0.1409, 0.3996], [0.5000, 0.5000, 0.0000], [0.1053, 0.3549, 0.6039], [0.2079, 0.3003, 0.2067], [0.2921, 0.8003, 0.2933], [0.6053, 0.1451, 0.1039], [0.0000, 0.0000, 0.0000], [0.1014, 0.6409, 0.1004], [0.6956, 0.7955, 0.1954], [0.8947, 0.6451, 0.3961], [0.7921, 0.6997, 0.7933], [0.6014, 0.8591, 0.6004], [0.7079, 0.1997, 0.7067]],
  "formation_energy_mev_per_atom": -294,
  "polymorph_energy_ev_per_fu": 0.00
}



No. 4
{
  "formula": "V2CoMo",
  "functional": "PBE",
  "state": "optimized geometry",
  "cell": [[2.5992, 0.0190, -0.0969], [-0.0307, 4.2363, -0.0003], [1.3610, 0.0105, 9.6981]],
  "species": ["V", "V", "Mo", "Mo", "Co", "V", "V", "Co"],
  "fractional_positions": [[0.8868, 0.7500, 0.1429], [0.9123, 0.7499, 0.7003], [0.3256, 0.2500, 0.5723], [0.6744, 0.7500, 0.4277], [0.5069, 0.2500, 0.0764], [0.0877, 0.2500, 0.2997], [0.1132, 0.2500, 0.8571], [0.4931, 0.7500, 0.9236]],
  "formation_energy_mev_per_atom": -5,
  "polymorph_energy_ev_per_fu": 0.38
}